## FeRePbW (PBE)

Data for a relaxed FeRePbW crystal.

## Properties
The energy comes out at -34.329 eV per formula unit.

Cell: 6.391 6.391 6.391 Å, 90.00 90.00 90.00°
Space group F-43m (No. 216)
Asymmetric unit:
1 Fe 0.000 0.000 0.000 [4 per cell]
2 Re 0.000 0.000 0.500 [4 per cell]
3 Pb 0.250 0.250 0.750 [4 per cell]
4 W 0.250 0.250 0.250 [4 per cell]

---

## YFeRePb (PBE)

Data for a relaxed YFeRePb crystal.

## Properties
The energy comes out at -28.326 eV per formula unit.

Cell: 6.811 6.811 6.811 Å, 90.00 90.00 90.00°
Space group F-43m (No. 216)
Asymmetric unit:
1 Y 0.000 0.000 0.000 [4 per cell]
2 Fe 0.000 0.000 0.500 [4 per cell]
3 Re 0.250 0.250 0.750 [4 per cell]
4 Pb 0.250 0.250 0.250 [4 per cell]

---

## YFeRePb (PBE)

Data for a relaxed YFeRePb crystal.

## Properties
The energy comes out at -28.514 eV per formula unit.

Cell: 6.739 6.739 6.739 Å, 90.00 90.00 90.00°
Space group F-43m (No. 216)
Asymmetric unit:
1 Y 0.000 0.000 0.000 [4 per cell]
2 Fe 0.250 0.250 0.750 [4 per cell]
3 Re 0.250 0.250 0.250 [4 per cell]
4 Pb 0.000 0.000 0.500 [4 per cell]

---

## FePbS3 (PBE)

Data for a relaxed FePbS3 crystal.

## Properties
The energy comes out at -25.623 eV per formula unit.

Cell: 7.118 10.112 6.904 Å, 90.00 106.56 90.00°
Space group P2_1/c (No. 14)
Asymmetric unit:
1 Fe 0.172 0.208 0.010 [4 per cell]
2 Pb 0.367 0.593 0.215 [4 per cell]
3 S 0.014 0.226 0.705 [4 per cell]
4 S 0.266 0.013 0.072 [4 per cell]
5 S 0.434 0.179 0.579 [4 per cell]

---

## Fe2PbS3 (PBE)

Data for a relaxed Fe2PbS3 crystal.

## Properties
The energy comes out at -34.379 eV per formula unit.

Cell: 3.364 13.392 9.314 Å, 90.00 90.00 90.00°
Space group Cmcm (No. 63)
Asymmetric unit:
1 Fe 0.000 0.000 0.000 [4 per cell]
2 Fe 0.000 0.428 0.250 [4 per cell]
3 Pb 0.000 0.254 0.750 [4 per cell]
4 S 0.000 0.041 0.250 [4 per cell]
5 S 0.000 0.384 0.019 [8 per cell]

---

## ZnFePbS3 (PBE)

Data for a relaxed ZnFePbS3 crystal.

## Properties
The energy comes out at -27.618 eV per formula unit.

Cell: 3.799 12.872 9.776 Å, 90.00 90.00 90.00°
Space group Cmcm (No. 63)
Asymmetric unit:
1 Zn 0.000 0.000 0.000 [4 per cell]
2 Fe 0.000 0.468 0.250 [4 per cell]
3 Pb 0.000 0.249 0.750 [4 per cell]
4 S 0.000 0.071 0.250 [4 per cell]
5 S 0.000 0.371 0.056 [8 per cell]

---

## ZnFePbS3 (PBE)

Data for a relaxed ZnFePbS3 crystal.

## Properties
The energy comes out at -27.673 eV per formula unit.

Cell: 3.781 13.198 9.549 Å, 90.00 90.00 90.00°
Space group Cmcm (No. 63)
Asymmetric unit:
1 Zn 0.000 0.026 0.250 [4 per cell]
2 Fe 0.000 0.500 0.000 [4 per cell]
3 Pb 0.000 0.258 0.750 [4 per cell]
4 S 0.000 0.127 0.053 [8 per cell]
5 S 0.000 0.422 0.250 [4 per cell]

---

## ZrFePbS3 (PBE)

Data for a relaxed ZrFePbS3 crystal.

## Properties
The energy comes out at -38.139 eV per formula unit.

Cell: 3.640 13.511 9.771 Å, 90.00 90.00 90.00°
Space group Cmcm (No. 63)
Asymmetric unit:
1 Zr 0.000 0.000 0.000 [4 per cell]
2 Fe 0.000 0.456 0.250 [4 per cell]
3 Pb 0.000 0.227 0.750 [4 per cell]
4 S 0.000 0.065 0.250 [4 per cell]
5 S 0.000 0.365 0.046 [8 per cell]